# La2MnTcCl

A relaxed La2MnTcCl crystal (PBE-GGA, Alexandria via LeMat-Bulk).

Lattice parameters (Å, degrees): 5.358 4.765 5.358 90.00 90.00 90.00
Last column: magnetic moment on the atom in μB.
Fractional coordinates of all 5 atoms:
Cl (0.000, 0.500, 0.000)  -0.01
Mn (0.500, 0.500, 0.500)  -0.10
Tc (0.000, 0.000, 0.000)  0.00
La (0.000, 0.000, 0.500)  0.02
La (0.500, 0.000, 0.000)  0.01

Calculated values
- Calculated volume: 136.8 Å³/cell
- DFT total energy: -27.89 eV per cell
- Magnetization: 0.0 μB per formula unit
- Crystal system: tetragonal
- DOS(E_F): 8.762 states/eV/f.u.